[1]
Dy2HoNi after structural relaxation, computed with GGA-PBE.

Lattice parameters (Å, degrees): 3.7802 3.7802 26.5868 90.00 90.00 120.00
With the nearest neighbours (Å) after each atom.
Space group R3m (No. 160, hexagonal axes)
Symmetry-distinct sites (fractional):
Dy 0.0000 0.0000 0.0000 x3  3 Ni 2.69
Dy 0.0000 0.0000 0.2139 x3  3 Ni 2.71
Ho 0.0000 0.0000 0.7719 x3  6 Dy 3.55-3.62, 6 Ho 3.78
Ni 0.0000 0.0000 0.6077 x3  6 Dy 2.69-2.71

Computed properties:
Excess energy over the best structure of this formula in the dataset   159 meV/atom
Energy of formation   -0.092 eV per atom
VASP energy   -59.793 eV/cell

=====

[2]
ThIn3Br7 after structural relaxation, computed with GGA-PBE.

Lattice parameters (Å, degrees): 11.6534 9.8707 9.2146 90.00 126.02 90.00
With the nearest neighbours (Å) after each atom.
Space group Cm (No. 8)
Symmetry-distinct sites (fractional):
Th 0.0000 0.0000 0.0000 x2  7 Br 2.88-3.03
In 0.0650 0.5000 0.1146 x2  6 Br 3.16-3.40
In 0.0977 0.2032 0.5695 x4  4 Br 3.08-3.43
Br 0.1855 0.1883 0.2922 x4  1 Th 2.92, 1 In 3.27
Br 0.1901 0.5000 0.6837 x2  1 Th 3.03, 2 In 3.08
Br 0.2133 0.0000 0.9334 x2  1 Th 2.89
Br 0.3612 0.5000 0.1747 x2  1 Th 2.88, 1 In 3.16
Br 0.4405 0.2358 0.8137 x4  1 Th 2.97, 2 In 3.24-3.25

Computed properties:
VASP energy   -79.882 eV/cell

=====

[3]
KTh2I8 after structural relaxation, computed with GGA-PBE.

Lattice parameters (Å, degrees): 16.7283 8.6535 8.3592 90.00 99.53 90.00
With the nearest neighbours (Å) after each atom.
Space group C2/m (No. 12)
Symmetry-distinct sites (fractional):
K 0.0000 0.0000 0.0000 x2  6 I 3.44-3.75
Th 0.2461 0.5000 0.5055 x4  6 I 2.97-3.18
I 0.1280 0.5000 0.7353 x4  1 Th 2.97
I 0.1350 0.0000 0.7306 x4  1 Th 3.02
I 0.1427 0.2485 0.2827 x8  2 Th 3.18

Computed properties:
VASP energy   -82.614 eV/cell

=====

[4]
ZrTaSi after structural relaxation, computed with GGA-PBE.

Lattice parameters (Å, degrees): 3.5564 11.5315 5.3269 90.00 90.00 90.00
With the nearest neighbours (Å) after each atom.
Space group Cmcm (No. 63)
Symmetry-distinct sites (fractional):
Zr 0.0000 0.0000 0.0000 x4  2 Zr 2.66, 4 Si 2.77
Ta 0.0000 0.2987 0.2500 x4  4 Si 2.53-2.75
Si 0.0000 0.3571 0.7500 x4  4 Ta 2.53-2.75, 4 Zr 2.77

Computed properties:
VASP energy   -107.952 eV/cell

=====

[5]
CaGa2Pb after structural relaxation, computed with GGA-PBE.

Lattice parameters (Å, degrees): 4.6109 4.6109 4.5009 90.00 90.00 90.00
With the nearest neighbours (Å) after each atom.
Space group P4/mmm (No. 123)
Symmetry-distinct sites (fractional):
Ca 0.0000 0.0000 0.0000 x1  8 Ga 3.22, 4 Pb 3.26
Ga 0.0000 0.5000 0.5000 x2  4 Pb 3.22, 4 Ca 3.22, 4 Ga 3.26
Pb 0.5000 0.5000 0.0000 x1  8 Ga 3.22, 4 Ca 3.26

Computed properties:
Energy of formation   -0.275 eV per atom
VASP energy   -12.864 eV/cell

=====

[6]
PBrF2 after structural relaxation, computed with GGA-PBE.

Lattice parameters (Å, degrees): 5.2720 6.2205 7.2396 90.00 90.00 90.00
With the nearest neighbours (Å) after each atom.
Space group Imm2 (No. 44)
Symmetry-distinct sites (fractional):
P 0.0000 0.0000 0.0000 x2  2 F 1.58
Br 0.0000 0.0000 0.3860 x2  1 P 2.79
F 0.2282 0.0000 0.8583 x4  1 P 1.58

Computed properties:
Excess energy over the best structure of this formula in the dataset   0 meV/atom
VASP energy   -30.519 eV/cell

=====

[7]
AlHSe3 after structural relaxation, computed with GGA-PBE.

Lattice parameters (Å, degrees): 4.9260 4.9260 4.9260 90.00 90.00 90.00
With the nearest neighbours (Å) after each atom.
Space group Pm-3m (No. 221)
Symmetry-distinct sites (fractional):
Al 0.0000 0.0000 0.0000 x1  6 Se 2.46
H 0.5000 0.5000 0.5000 x1  12 Se 3.48
Se 0.0000 0.0000 0.5000 x3  2 Al 2.46

Computed properties:
Excess energy over the best structure of this formula in the dataset   0 meV/atom
VASP energy   -14.693 eV/cell

=====

[8]
KLaTl2Br6 after structural relaxation, computed with GGA-PBE.

Lattice parameters (Å, degrees): 7.9220 8.6937 13.6208 90.00 122.41 90.00
With the nearest neighbours (Å) after each atom.
Space group P2_1/c (No. 14)
Symmetry-distinct sites (fractional):
K 0.0000 0.0000 0.0000 x2  6 Br 3.25-3.38
La 0.5000 0.0000 0.5000 x2  6 Br 2.95-2.96
Tl 0.2023 0.0723 0.7256 x4  6 Br 3.30-3.55
Br 0.1456 0.1718 0.4567 x4  1 La 2.95, 1 K 3.25
Br 0.2448 0.7218 0.4122 x4  1 La 2.96
Br 0.4026 0.0716 0.2631 x4  1 La 2.95, 1 Tl 3.30

Computed properties:
VASP energy   -71.718 eV/cell

=====

[9]
CdP2Ir after structural relaxation, computed with GGA-PBE.

Lattice parameters (Å, degrees): 3.6051 3.6051 19.5593 90.00 90.00 120.00
With the nearest neighbours (Å) after each atom.
Space group R-3m (No. 166, hexagonal axes)
Symmetry-distinct sites (fractional):
Cd 0.0000 0.0000 0.0000 x3  6 P 2.92
P 0.0000 0.0000 0.2288 x6  3 Ir 2.41
Ir 0.0000 0.0000 0.5000 x3  6 P 2.41

Computed properties:
Energy of formation   -0.074 eV per atom
VASP energy   -62.673 eV/cell

=====

[10]
KCr2Ir after structural relaxation, computed with GGA-PBE.

Lattice parameters (Å, degrees): 2.7585 4.0602 7.1609 90.00 90.00 90.00
With the nearest neighbours (Å) after each atom.
Space group Pmmm (No. 47)
Symmetry-distinct sites (fractional):
K 0.0000 0.0000 0.0000 x1  2 K 2.76
Cr 0.0000 0.5000 0.3663 x2  1 Cr 1.92
Ir 0.5000 0.0000 0.5000 x1  8 Cr 2.63, 2 Ir 2.76

Computed properties:
Excess energy over the best structure of this formula in the dataset   82 meV/atom
Energy of formation   0.656 eV per atom
VASP energy   -26.581 eV/cell

=====

[11]
Li2La2Ge after structural relaxation, computed with GGA-PBE.

Lattice parameters (Å, degrees): 6.8796 6.8796 4.9520 90.00 90.00 90.00
With the nearest neighbours (Å) after each atom.
Space group P4/mbm (No. 127)
Symmetry-distinct sites (fractional):
Li 0.1401 0.3599 0.0000 x4  2 Ge 2.66, 1 Li 2.73
La 0.1768 0.6768 0.5000 x4  6 Li 3.05-3.31
Ge 0.0000 0.0000 0.0000 x2  4 Li 2.66

Computed properties:
Energy of formation   -0.260 eV per atom
VASP energy   -39.202 eV/cell

=====

[12]
BaCa2Pd2 after structural relaxation, computed with GGA-PBE.

Lattice parameters (Å, degrees): 5.3101 5.3101 11.3547 90.00 90.00 90.00
With the nearest neighbours (Å) after each atom.
Space group I4/mmm (No. 139)
Symmetry-distinct sites (fractional):
Ba 0.0000 0.0000 0.0000 x2  10 Ca 3.83-4.19, 8 Pd 3.89
Ca 0.0000 0.0000 0.3369 x4  4 Pd 2.83
Pd 0.0000 0.5000 0.2500 x4  4 Ca 2.83

Computed properties:
Excess energy over the best structure of this formula in the dataset   109 meV/atom
Energy of formation   -0.400 eV per atom
VASP energy   -36.619 eV/cell

=====

[13]
Sr3Li2Hg5 after structural relaxation, computed with GGA-PBE.

Lattice parameters (Å, degrees): 11.4608 11.4608 4.0893 90.00 90.00 90.00
With the nearest neighbours (Å) after each atom.
Space group P4/mbm (No. 127)
Symmetry-distinct sites (fractional):
Sr 0.0000 0.0000 0.0000 x2  8 Hg 3.35
Sr 0.1814 0.3186 0.0000 x4  3 Li 3.33-3.46, 10 Hg 3.58-3.62
Li 0.1128 0.6128 0.0000 x4  6 Hg 2.74-2.84
Hg 0.0000 0.5000 0.5000 x2  4 Li 2.74
Hg 0.0616 0.7766 0.5000 x8  2 Li 2.84

Computed properties:
Energy of formation   -0.449 eV per atom
VASP energy   -29.739 eV/cell

=====

[14]
BaMg3Au2 after structural relaxation, computed with GGA-PBE.

Lattice parameters (Å, degrees): 10.7310 10.7310 4.5019 90.00 90.00 120.00
With the nearest neighbours (Å) after each atom.
Space group P6/mmm (No. 191)
Symmetry-distinct sites (fractional):
Ba 0.0000 0.0000 0.0000 x1  6 Au 3.53, 12 Mg 3.90
Ba 0.3333 0.6667 0.5000 x2  6 Au 3.49, 12 Mg 3.79-3.83
Mg 0.0000 0.2965 0.5000 x6  4 Au 2.86, 4 Mg 3.14-3.18
Mg 0.0000 0.5000 0.0000 x3  4 Au 2.91, 4 Mg 3.14
Au 0.1898 0.3796 0.0000 x6  6 Mg 2.86-2.91

Computed properties:
Energy of formation   -0.540 eV per atom
VASP energy   -49.503 eV/cell

=====

[15]
BaCrPt after structural relaxation, computed with GGA-PBE.

Lattice parameters (Å, degrees): 4.4611 4.4611 4.8245 90.00 90.00 120.00
With the nearest neighbours (Å) after each atom.
Space group P-6m2 (No. 187)
Symmetry-distinct sites (fractional):
Ba 0.0000 0.0000 0.0000 x1  6 Cr 3.53, 6 Pt 3.53
Cr 0.3333 0.6667 0.5000 x1  3 Pt 2.58
Pt 0.6667 0.3333 0.5000 x1  3 Cr 2.58

Computed properties:
Excess energy over the best structure of this formula in the dataset   37 meV/atom
Energy of formation   -0.124 eV per atom
VASP energy   -17.958 eV/cell

=====

[16]
Zr2Tl2NiTe6 after structural relaxation, computed with GGA-PBE.

Lattice parameters (Å, degrees): 7.0285 12.2461 8.6880 90.00 107.25 90.00
With the nearest neighbours (Å) after each atom.
Space group C2/m (No. 12)
Symmetry-distinct sites (fractional):
Zr 0.0000 0.1706 0.0000 x4  6 Te 2.91-2.94
Tl 0.0000 0.3251 0.5000 x4  6 Te 3.42-3.48
Ni 0.0000 0.5000 0.0000 x2  6 Te 2.72-2.77
Te 0.2336 0.3444 0.1998 x8  1 Ni 2.77, 2 Zr 2.91-2.92
Te 0.2417 0.5000 0.8069 x4  1 Ni 2.72, 2 Zr 2.94

Computed properties:
VASP energy   -104.009 eV/cell

=====

[17]
TbNpBi2O8 after structural relaxation, computed with GGA-PBE.

Lattice parameters (Å, degrees): 5.2714 7.0487 5.2750 90.00 90.41 90.00
With the nearest neighbours (Å) after each atom.
Space group P2/m (No. 10)
Symmetry-distinct sites (fractional):
Tb 0.0000 0.0000 0.0000 x1  6 O 2.31-2.32
Np 0.0000 0.5000 0.0000 x1  6 O 1.93-2.11
Bi 0.5000 0.2398 0.5000 x2  4 O 2.22-2.39
O 0.1799 0.2689 0.1804 x4  1 Np 2.11, 1 Tb 2.32
O 0.2583 0.5000 0.7430 x2  1 Np 1.93
O 0.3087 0.0000 0.6919 x2  2 Bi 2.22, 1 Tb 2.31

Computed properties:
VASP energy   -91.518 eV/cell

=====

[18]
ZnNiRu after structural relaxation, computed with GGA-PBE.

Lattice parameters (Å, degrees): 2.6186 2.7287 11.0873 90.00 96.71 90.00
With the nearest neighbours (Å) after each atom.
Space group P2_1/m (No. 11)
Symmetry-distinct sites (fractional):
Zn 0.1388 0.2500 0.2759 x2  4 Ni 2.52, 4 Zn 2.62-2.73, 4 Ru 2.75
Ni 0.2858 0.2500 0.5723 x2  8 Ni 2.47-2.73, 4 Zn 2.52
Ru 0.4522 0.2500 0.9053 x2  6 Ru 2.49-2.73, 4 Zn 2.75

Computed properties:
Excess energy over the best structure of this formula in the dataset   83 meV/atom
Energy of formation   0.088 eV per atom
VASP energy   -32.132 eV/cell

=====

[19]
RbInS3 after structural relaxation, computed with GGA-PBE.

Lattice parameters (Å, degrees): 5.9561 5.9561 5.9561 90.00 90.00 90.00
With the nearest neighbours (Å) after each atom.
Space group Pm-3m (No. 221)
Symmetry-distinct sites (fractional):
Rb 0.0000 0.0000 0.0000 x1  6 S 2.98
In 0.5000 0.5000 0.5000 x1  12 S 4.21
S 0.0000 0.0000 0.5000 x3  2 Rb 2.98

Computed properties:
VASP energy   -11.679 eV/cell

=====

[20]
SmDyGa after structural relaxation, computed with GGA-PBE.

Lattice parameters (Å, degrees): 16.6118 5.1381 3.7233 90.00 90.00 90.00
With the nearest neighbours (Å) after each atom.
Space group Pnma (No. 62)
Symmetry-distinct sites (fractional):
Sm 0.2214 0.2500 0.0007 x4  2 Ga 3.07, 4 Sm 3.31
Dy 0.0749 0.7500 0.9988 x4  6 Ga 3.10-3.18
Ga 0.0745 0.2500 0.5002 x4  2 Sm 3.07, 6 Dy 3.10-3.18

Computed properties:
Excess energy over the best structure of this formula in the dataset   32 meV/atom
Energy of formation   -0.371 eV per atom
VASP energy   -53.848 eV/cell